1.
Computed, not measured: crystalline CoOsPb at its relaxed geometry at the PBE level of DFT.

Calculated values
Volume in A^3/atom: 17.947
Distance to the lowest polymorph of the same formula in eV/atom: 0.000

abc: 5.9941 5.9941 5.9941
angles: 90.00 90.00 90.00
Space group F-43m (No. 216)
Symmetry-distinct sites (fractional):
Co1 0.0000 0.0000 0.0000
Os1 0.2500 0.2500 0.2500
Pb1 0.2500 0.2500 0.7500

---

2.
Computed, not measured: crystalline CoOs2Pb at its relaxed geometry at the PBE level of DFT.

Calculated values
Uncorrected energy in eV/cell: -30.00
Volume in A^3/atom: 16.086

abc: 3.0369 3.0369 6.9767
angles: 90.00 90.00 90.00
Space group P4/mmm (No. 123)
Symmetry-distinct sites (fractional):
Co1 0.0000 0.0000 0.0000
Os1 0.5000 0.5000 0.1904
Pb1 0.0000 0.0000 0.5000

---

3.
Computed, not measured: crystalline CoOs2Pb at its relaxed geometry at the PBE level of DFT.

Calculated values
Uncorrected energy in eV/cell: -59.34
Volume in A^3/atom: 15.461

abc: 3.9550 3.9550 7.9072
angles: 90.00 90.00 90.00
Space group I4/mmm (No. 139)
Symmetry-distinct sites (fractional):
Co1 0.0000 0.0000 0.0000
Os1 0.0000 0.5000 0.2500
Pb1 0.0000 0.0000 0.5000